one.
{"formula": "Ba2TaAsS6", "functional": "GGA-PBE", "state": "relaxed", "lattice": [[6.9407, 0.0000, 0.0000], [0.0000, 7.0207, 0.0000], [-6.9340, 0.0000, 9.9204]], "species": ["Ba", "Ba", "Ba", "Ba", "Ta", "Ta", "As", "As", "S", "S", "S", "S", "S", "S", "S", "S", "S", "S", "S", "S"], "frac_coords": [[0.2387, 0.0542, 0.2510], [0.2387, 0.4458, 0.7510], [0.7613, 0.5542, 0.2490], [0.7613, 0.9458, 0.7490], [0.0000, 0.0000, 0.5000], [0.0000, 0.5000, 0.0000], [0.5000, 0.0000, 0.0000], [0.5000, 0.5000, 0.5000], [0.1714, 0.2126, 0.9698], [0.1714, 0.2874, 0.4698], [0.2521, 0.7030, 0.9672], [0.2521, 0.7970, 0.4672], [0.3055, 0.5036, 0.2440], [0.3055, 0.9964, 0.7440], [0.6945, 0.0036, 0.2560], [0.6945, 0.4964, 0.7560], [0.7479, 0.2030, 0.5328], [0.7479, 0.2970, 0.0328], [0.8286, 0.7126, 0.5302], [0.8286, 0.7874, 0.0302]], "volume_a3_per_cell": 483.4, "space_group": "No. 14", "density_g_cm3": 4.967}

two.
{"formula": "Ba2TaAsS6", "functional": "GGA-PBE", "state": "relaxed", "lattice": [[0.0000, 4.9420, 4.9420], [4.9420, 0.0000, 4.9420], [4.9420, 4.9420, 0.0000]], "species": ["Ba", "Ba", "Ta", "As", "S", "S", "S", "S", "S", "S"], "frac_coords": [[0.2500, 0.2500, 0.2500], [0.7500, 0.7500, 0.7500], [0.0000, 0.0000, 0.0000], [0.5000, 0.5000, 0.5000], [0.2465, 0.2465, 0.7535], [0.2465, 0.7535, 0.2465], [0.2465, 0.7535, 0.7535], [0.7535, 0.2465, 0.2465], [0.7535, 0.2465, 0.7535], [0.7535, 0.7535, 0.2465]], "volume_a3_per_cell": 241.4, "space_group": "No. 225", "density_g_cm3": 4.973}

In terms of stability, one leads; the second structure lies 33 meV per atom higher.

one.
{"formula": "BaTbAs", "functional": "GGA-PBE", "state": "relaxed", "lattice": [[7.3338, 0.0000, 0.0000], [0.0000, 7.3338, 0.0000], [0.0000, 0.0000, 7.3338]], "species": ["Ba", "Ba", "Ba", "Ba", "Tb", "Tb", "Tb", "Tb", "As", "As", "As", "As"], "frac_coords": [[0.0000, 0.0000, 0.0000], [0.0000, 0.5000, 0.5000], [0.5000, 0.0000, 0.5000], [0.5000, 0.5000, 0.0000], [0.0000, 0.0000, 0.5000], [0.0000, 0.5000, 0.0000], [0.5000, 0.0000, 0.0000], [0.5000, 0.5000, 0.5000], [0.2500, 0.2500, 0.2500], [0.2500, 0.7500, 0.7500], [0.7500, 0.2500, 0.7500], [0.7500, 0.7500, 0.2500]], "volume_a3_per_cell": 394.4, "space_group": "No. 216", "density_g_cm3": 6.250}

two.
{"formula": "BaTbAs", "functional": "GGA-PBE", "state": "relaxed", "lattice": [[7.5071, 0.0000, 0.0000], [0.0000, 7.5071, 0.0000], [0.0000, 0.0000, 7.5071]], "species": ["Ba", "Ba", "Ba", "Ba", "Tb", "Tb", "Tb", "Tb", "As", "As", "As", "As"], "frac_coords": [[0.0000, 0.0000, 0.0000], [0.0000, 0.5000, 0.5000], [0.5000, 0.0000, 0.5000], [0.5000, 0.5000, 0.0000], [0.2500, 0.2500, 0.2500], [0.2500, 0.7500, 0.7500], [0.7500, 0.2500, 0.7500], [0.7500, 0.7500, 0.2500], [0.2500, 0.2500, 0.7500], [0.2500, 0.7500, 0.2500], [0.7500, 0.2500, 0.2500], [0.7500, 0.7500, 0.7500]], "volume_a3_per_cell": 423.1, "space_group": "No. 216", "density_g_cm3": 5.827}

In terms of stability, one leads; the second structure lies 938 meV per atom higher.